Material: CdCoSiAu
Method: DFT, PBE
State: optimized geometry

```
data_CdCoSiAu
_chemical_formula_sum 'Cd4 Co4 Si4 Au4'
_cell_length_a 6.327
_cell_length_b 6.327
_cell_length_c 6.327
_cell_angle_alpha 90.00
_cell_angle_beta 90.00
_cell_angle_gamma 90.00
_space_group_name_H-M_alt 'F -4 3 m'
_space_group_IT_number 216
_space_group_name_Hall 'F -4 2 3'
loop_
_atom_site_label
_atom_site_type_symbol
_atom_site_fract_x
_atom_site_fract_y
_atom_site_fract_z
Cd1 Cd 0.000 0.000 0.000
Co1 Co 0.250 0.250 0.750
Si1 Si 0.000 0.000 0.500
Au1 Au 0.250 0.250 0.250
```

## Properties
Distance to the lowest polymorph of the same formula, eV/atom: 0.0000
Calculated total energy, eV/cell: -62.56